(1)
Entry from Alexandria via LeMat-Bulk: a relaxed structure of Ga2AgSn2 (PBE).

Cell lengths 7.098, 7.098, 4.465 Å; angles 90.00, 90.00, 90.00 degrees
Fractional coordinates of all 10 atoms:
Ga (0.367, 0.867, 0.000)
Ga (0.867, 0.633, 0.000)
Ga (0.633, 0.133, 0.000)
Ga (0.133, 0.367, 0.000)
Sn (0.178, 0.678, 0.500)
Sn (0.678, 0.822, 0.500)
Sn (0.822, 0.322, 0.500)
Sn (0.322, 0.178, 0.500)
Ag (0.000, 0.000, 0.000)
Ag (0.500, 0.500, 0.000)

Results
Total magnetization (μB per formula unit): 0.00
Fermi-level density of states (states/eV/atom): 0.463
Density (g/cm3): 7.16
Offset from the most stable computed form (eV/atom): 0.000

=====

(2)
Entry from Alexandria via LeMat-Bulk: a relaxed structure of GaAg2Sn (PBE).

Cell lengths 4.256, 4.256, 9.862 Å; angles 77.54, 77.54, 90.00 degrees
Fractional coordinates of all 8 atoms:
Ga (0.500, 0.500, 0.000)
Ga (0.250, 0.750, 0.500)
Sn (0.000, 0.000, 0.000)
Sn (0.750, 0.250, 0.500)
Ag (0.611, 0.125, 0.250)
Ag (0.139, 0.625, 0.250)
Ag (0.375, 0.389, 0.750)
Ag (0.875, 0.861, 0.750)

Results
Total magnetization (μB per formula unit): 0.00
Fermi-level density of states (states/eV/atom): 0.350
Density (g/cm3): 7.89
Offset from the most stable computed form (eV/atom): 0.064

=====

(3)
Entry from Alexandria via LeMat-Bulk: a relaxed structure of Ga5AgSn (PBE).

Cell lengths 4.160, 4.160, 8.473 Å; angles 90.00, 90.00, 90.00 degrees
Fractional coordinates of all 7 atoms:
Ga (0.000, 0.500, 0.244)
Ga (0.000, 0.500, 0.756)
Ga (0.500, 0.000, 0.244)
Ga (0.500, 0.000, 0.756)
Ga (0.000, 0.000, 0.000)
Ag (0.500, 0.500, 0.000)
Sn (0.000, 0.000, 0.500)

Results
Total magnetization (μB per formula unit): 0.00
Fermi-level density of states (states/eV/atom): 0.323
Density (g/cm3): 6.51
VASP energy (eV/atom): -3.0879

=====

(4)
Entry from Alexandria via LeMat-Bulk: a relaxed structure of Ga2AgSn2 (PBE).

Cell lengths 3.717, 3.717, 8.771 Å; angles 77.77, 77.77, 90.00 degrees
Fractional coordinates of all 5 atoms:
Ga (0.750, 0.250, 0.500)
Ga (0.250, 0.750, 0.500)
Sn (0.400, 0.400, 0.201)
Sn (0.600, 0.600, 0.799)
Ag (0.000, 0.000, 0.000)

Results
Total magnetization (μB per formula unit): 0.00
Fermi-level density of states (states/eV/atom): 0.380
Density (g/cm3): 6.96
Offset from the most stable computed form (eV/atom): 0.036

=====

(5)
Entry from Alexandria via LeMat-Bulk: a relaxed structure of GaAg3Sn (PBE).

Cell lengths 6.199, 8.510, 8.510 Å; angles 71.69, 76.21, 76.21 degrees
Fractional coordinates of all 20 atoms:
Ga (0.753, 0.402, 0.780)
Ga (0.747, 0.220, 0.598)
Ga (0.247, 0.598, 0.220)
Ga (0.253, 0.780, 0.402)
Ag (0.599, 0.650, 0.969)
Ag (0.901, 0.031, 0.350)
Ag (0.401, 0.350, 0.031)
Ag (0.099, 0.969, 0.650)
Ag (0.954, 0.318, 0.042)
Ag (0.546, 0.958, 0.682)
Ag (0.046, 0.682, 0.958)
Ag (0.454, 0.042, 0.318)
Ag (0.408, 0.643, 0.690)
Ag (0.092, 0.310, 0.357)
Ag (0.592, 0.357, 0.310)
Ag (0.908, 0.690, 0.643)
Sn (0.250, 0.983, 0.017)
Sn (0.750, 0.017, 0.983)
Sn (0.250, 0.338, 0.662)
Sn (0.750, 0.662, 0.338)

Results
Total magnetization (μB per formula unit): 0.00
Fermi-level density of states (states/eV/atom): 0.259
Density (g/cm3): 8.35
Offset from the most stable computed form (eV/atom): 0.047

=====

(6)
Entry from Alexandria via LeMat-Bulk: a relaxed structure of Ga2AgSn2 (PBE).

Cell lengths 7.479, 7.479, 4.297 Å; angles 90.00, 90.00, 90.00 degrees
Fractional coordinates of all 10 atoms:
Ga (0.150, 0.650, 0.500)
Ga (0.650, 0.850, 0.500)
Ga (0.850, 0.350, 0.500)
Ga (0.350, 0.150, 0.500)
Sn (0.349, 0.849, 0.000)
Sn (0.849, 0.651, 0.000)
Sn (0.651, 0.151, 0.000)
Sn (0.151, 0.349, 0.000)
Ag (0.000, 0.000, 0.000)
Ag (0.500, 0.500, 0.000)

Results
Total magnetization (μB per formula unit): 0.00
Fermi-level density of states (states/eV/atom): 0.450
Density (g/cm3): 6.70
Offset from the most stable computed form (eV/atom): 0.052

=====

(7)
Entry from Alexandria via LeMat-Bulk: a relaxed structure of Ga2AgSn (PBE).

Cell lengths 4.347, 4.347, 6.013 Å; angles 68.81, 68.81, 60.00 degrees
Fractional coordinates of all 4 atoms:
Ga (0.072, 0.072, 0.785)
Ga (0.266, 0.266, 0.201)
Ag (0.671, 0.671, 0.988)
Sn (0.491, 0.491, 0.526)

Results
Total magnetization (μB per formula unit): 0.00
Fermi-level density of states (states/eV/atom): 0.428
Density (g/cm3): 6.80
VASP energy (eV/atom): -3.1471

=====

(8)
Entry from Alexandria via LeMat-Bulk: a relaxed structure of GaAg2Sn (PBE).

Cell lengths 4.258, 4.343, 4.343 Å; angles 90.00, 90.00, 90.00 degrees
Fractional coordinates of all 4 atoms:
Ga (0.500, 0.500, 0.500)
Sn (0.500, 0.000, 0.000)
Ag (0.000, 0.000, 0.500)
Ag (0.000, 0.500, 0.000)

Results
Total magnetization (μB per formula unit): 0.00
Fermi-level density of states (states/eV/atom): 0.359
Density (g/cm3): 8.36
Offset from the most stable computed form (eV/atom): 0.030